(1)
VASP calculation (PBE) on an optimized crystal structure of LiTbThGa.

Unit cell a=7.307 b=7.307 c=7.307 alpha=90.00 beta=90.00 gamma=90.00
Space group F-43m (No. 216)
Inequivalent atoms, fractional coordinates:
Li1 0.000 0.000 0.000 [4 per cell]
Tb1 0.250 0.250 0.750 [4 per cell]
Th1 0.250 0.250 0.250 [4 per cell]
Ga1 0.000 0.000 0.500 [4 per cell]

energy of formation from the pure elements	-0.20	eV/atom
crystal system	cubic
E_tot	-4.45	eV/atom

=====

(2)
VASP calculation (PBE) on an optimized crystal structure of Ac2Sn3PbAu6.

Unit cell a=4.661 b=4.661 c=16.846 alpha=90.00 beta=90.00 gamma=90.00
Space group P4/mmm (No. 123)
Inequivalent atoms, fractional coordinates:
Ac1 0.000 0.000 0.227 [2 per cell]
Sn1 0.500 0.500 0.000 [1 per cell]
Sn2 0.500 0.500 0.310 [2 per cell]
Pb1 0.000 0.000 0.500 [1 per cell]
Au1 0.000 0.500 0.391 [4 per cell]
Au2 0.500 0.500 0.153 [2 per cell]

energy of formation from the pure elements	-0.24	eV/atom
crystal system	tetragonal
E_tot	-3.88	eV/atom

=====

(3)
VASP calculation (PBE) on an optimized crystal structure of Dy8In2Au.

Unit cell a=18.813 b=5.131 c=6.741 alpha=90.00 beta=102.13 gamma=90.00
Space group C2/m (No. 12)
Inequivalent atoms, fractional coordinates:
Dy1 0.017 0.000 0.269 [4 per cell]
Dy2 0.092 0.500 0.964 [4 per cell]
Dy3 0.152 0.500 0.482 [4 per cell]
Dy4 0.209 0.000 0.807 [4 per cell]
In1 0.186 0.000 0.253 [4 per cell]
Au1 0.000 0.500 0.500 [2 per cell]

energy of formation from the pure elements	-0.30	eV/atom
crystal system	monoclinic
E_tot	-4.44	eV/atom

=====

(4)
VASP calculation (PBE) on an optimized crystal structure of BaZrNbInO6.

Unit cell a=8.359 b=8.359 c=8.359 alpha=90.00 beta=90.00 gamma=90.00
Space group F-43m (No. 216)
Inequivalent atoms, fractional coordinates:
Ba1 0.000 0.000 0.000 [4 per cell]
Zr1 0.250 0.250 0.750 [4 per cell]
Nb1 0.250 0.250 0.250 [4 per cell]
In1 0.000 0.000 0.500 [4 per cell]
O1 0.006 0.250 0.250 [24 per cell]

formation energy without anion corrections	-2587.4	meV per atom
crystal system	cubic
E_tot	-7.89	eV/atom

=====

(5)
VASP calculation (PBE) on an optimized crystal structure of Rb2Ge3Br8.

Unit cell a=16.598 b=8.400 c=7.341 alpha=90.00 beta=107.52 gamma=90.00
Space group C2/m (No. 12)
Inequivalent atoms, fractional coordinates:
Rb1 0.238 0.000 0.174 [4 per cell]
Ge1 0.000 0.241 0.500 [4 per cell]
Ge2 0.000 0.500 0.000 [2 per cell]
Br1 0.099 0.266 0.889 [8 per cell]
Br2 0.103 0.500 0.390 [4 per cell]
Br3 0.105 0.000 0.455 [4 per cell]

formation energy without anion corrections	-933.2	meV per atom
crystal system	monoclinic
E_tot	-3.18	eV/atom

=====

(6)
VASP calculation (PBE) on an optimized crystal structure of NbSnPd2.

Unit cell a=4.069 b=4.069 c=4.212 alpha=90.00 beta=90.00 gamma=90.00
Space group P4/mmm (No. 123)
Inequivalent atoms, fractional coordinates:
Nb1 0.000 0.000 0.000 [1 per cell]
Sn1 0.500 0.500 0.000 [1 per cell]
Pd1 0.000 0.500 0.500 [2 per cell]

energy of formation from the pure elements	-0.26	eV/atom
crystal system	tetragonal
E_tot	-6.37	eV/atom

=====

(7)
VASP calculation (PBE) on an optimized crystal structure of LiCa2Gd.

Unit cell a=5.914 b=5.914 c=3.971 alpha=90.00 beta=90.00 gamma=90.00
Space group P4/mmm (No. 123)
Inequivalent atoms, fractional coordinates:
Li1 0.000 0.000 0.000 [1 per cell]
Ca1 0.000 0.500 0.500 [2 per cell]
Gd1 0.500 0.500 0.000 [1 per cell]

energy above the most stable polymorph in this dataset	0.0744	eV per atom
energy of formation from the pure elements	0.15	eV/atom
crystal system	tetragonal
E_tot	-4.85	eV/atom

=====

(8)
VASP calculation (PBE) on an optimized crystal structure of V2Ir2Rh.

Unit cell a=7.197 b=7.197 c=2.816 alpha=90.00 beta=90.00 gamma=90.00
Space group P4/mbm (No. 127)
Inequivalent atoms, fractional coordinates:
V1 0.166 0.334 0.000 [4 per cell]
Ir1 0.134 0.634 0.500 [4 per cell]
Rh1 0.000 0.000 0.500 [2 per cell]

energy above the most stable polymorph in this dataset	0.0000	eV per atom
energy of formation from the pure elements	-0.33	eV/atom
crystal system	tetragonal
E_tot	-8.99	eV/atom

=====

(9)
VASP calculation (PBE) on an optimized crystal structure of Cd2H3Ir.

Unit cell a=5.665 b=9.644 c=11.696 alpha=90.00 beta=90.00 gamma=90.00
Space group Fmmm (No. 69)
Inequivalent atoms, fractional coordinates:
Cd1 0.000 0.179 0.000 [8 per cell]
Cd2 0.250 0.250 0.250 [8 per cell]
H1 0.000 0.000 0.344 [8 per cell]
H2 0.192 0.000 0.101 [16 per cell]
Ir1 0.000 0.000 0.205 [8 per cell]

crystal system	orthorhombic
E_tot	-3.35	eV/atom

=====

(10)
VASP calculation (PBE) on an optimized crystal structure of BaTl2ZnCd.

Unit cell a=6.683 b=6.683 c=6.207 alpha=90.00 beta=90.00 gamma=90.00
Space group P4/mmm (No. 123)
Inequivalent atoms, fractional coordinates:
Ba1 0.000 0.000 0.000 [1 per cell]
Tl1 0.000 0.500 0.000 [2 per cell]
Zn1 0.000 0.000 0.500 [1 per cell]
Cd1 0.500 0.500 0.500 [1 per cell]

energy above the most stable polymorph in this dataset	0.7621	eV per atom
energy of formation from the pure elements	0.69	eV/atom
crystal system	tetragonal
E_tot	-1.08	eV/atom

=====

(11)
VASP calculation (PBE) on an optimized crystal structure of Li2TbDy2Mg5.

Unit cell a=10.572 b=10.572 c=4.407 alpha=90.00 beta=90.00 gamma=90.00
Space group P4/mbm (No. 127)
Inequivalent atoms, fractional coordinates:
Li1 0.115 0.385 0.000 [4 per cell]
Tb1 0.000 0.000 0.000 [2 per cell]
Dy1 0.180 0.680 0.000 [4 per cell]
Mg1 0.000 0.500 0.500 [2 per cell]
Mg2 0.063 0.214 0.500 [8 per cell]

energy of formation from the pure elements	-0.02	eV/atom
crystal system	tetragonal
E_tot	-2.58	eV/atom

=====

(12)
VASP calculation (PBE) on an optimized crystal structure of Sr8PdN2.

Unit cell a=13.981 b=9.706 c=7.013 alpha=90.00 beta=91.51 gamma=90.00
Space group C2/m (No. 12)
Inequivalent atoms, fractional coordinates:
Sr1 0.114 0.193 0.252 [8 per cell]
Sr2 0.142 0.500 0.764 [4 per cell]
Sr3 0.172 0.000 0.787 [4 per cell]
Pd1 0.000 0.000 0.500 [2 per cell]
N1 0.199 0.000 0.124 [4 per cell]

formation energy without anion corrections	-338.2	meV per atom
crystal system	monoclinic
E_tot	-3.55	eV/atom

=====

(13)
VASP calculation (PBE) on an optimized crystal structure of La4CuSBr2.

Unit cell a=7.266 b=4.138 c=8.022 alpha=90.00 beta=108.13 gamma=90.00
Space group P2/m (No. 10)
Inequivalent atoms, fractional coordinates:
La1 0.225 0.000 0.213 [2 per cell]
La2 0.259 0.500 0.788 [2 per cell]
Cu1 0.500 0.000 0.000 [1 per cell]
S1 0.000 0.500 0.000 [1 per cell]
Br1 0.000 0.000 0.500 [1 per cell]
Br2 0.500 0.500 0.500 [1 per cell]

formation energy without anion corrections	-1241.4	meV per atom
crystal system	monoclinic
E_tot	-5.15	eV/atom

=====

(14)
VASP calculation (PBE) on an optimized crystal structure of ZrScSn2.

Unit cell a=3.9631 b=3.9631 c=22.2168 alpha=90.00 beta=90.00 gamma=120.00
Space group R-3m (No. 166, hexagonal axes)
Inequivalent atoms, fractional coordinates:
Zr1 0.0000 0.0000 0.0000 [3 per cell]
Sc1 0.0000 0.0000 0.5000 [3 per cell]
Sn1 0.0000 0.0000 0.2506 [6 per cell]

energy above the most stable polymorph in this dataset	0.1550	eV per atom
energy of formation from the pure elements	-0.38	eV/atom
crystal system	trigonal
E_tot	-6.10	eV/atom

=====

(15)
VASP calculation (PBE) on an optimized crystal structure of ZrTaW3.

Unit cell a=4.791 b=4.791 c=4.791 alpha=90.00 beta=90.00 gamma=90.00
Space group Pm-3m (No. 221)
Inequivalent atoms, fractional coordinates:
Zr1 0.000 0.000 0.000 [1 per cell]
Ta1 0.500 0.500 0.500 [1 per cell]
W1 0.000 0.500 0.500 [3 per cell]

energy above the most stable polymorph in this dataset	0.0000	eV per atom
energy of formation from the pure elements	1.84	eV/atom
crystal system	cubic
E_tot	-10.01	eV/atom

=====

(16)
VASP calculation (PBE) on an optimized crystal structure of BeTcPb3.

Unit cell a=5.035 b=5.035 c=5.035 alpha=90.00 beta=90.00 gamma=90.00
Space group Pm-3m (No. 221)
Inequivalent atoms, fractional coordinates:
Be1 0.000 0.000 0.000 [1 per cell]
Tc1 0.500 0.500 0.500 [1 per cell]
Pb1 0.000 0.000 0.500 [3 per cell]

energy above the most stable polymorph in this dataset	0.1791	eV per atom
energy of formation from the pure elements	1.05	eV/atom
crystal system	cubic
E_tot	-4.00	eV/atom

=====

(17)
VASP calculation (PBE) on an optimized crystal structure of ReN2.

Unit cell a=2.916 b=4.816 c=5.596 alpha=90.00 beta=120.09 gamma=90.00
Space group Pc (No. 7)
Inequivalent atoms, fractional coordinates:
Re1 0.000 0.249 0.000 [2 per cell]
N1 0.373 0.453 0.810 [2 per cell]
N2 0.810 0.040 0.221 [2 per cell]

formation energy without anion corrections	217.8	meV per atom
crystal system	monoclinic
E_tot	-9.48	eV/atom

=====

(18)
VASP calculation (PBE) on an optimized crystal structure of Ba2CrH7.

Unit cell a=8.108 b=8.108 c=8.108 alpha=90.00 beta=90.00 gamma=90.00
Space group Fm-3m (No. 225)
Inequivalent atoms, fractional coordinates:
Ba1 0.250 0.250 0.250 [8 per cell]
Cr1 0.000 0.000 0.000 [4 per cell]
H1 0.000 0.000 0.212 [24 per cell]
H2 0.000 0.000 0.500 [4 per cell]

crystal system	cubic
E_tot	-3.91	eV/atom

=====

(19)
VASP calculation (PBE) on an optimized crystal structure of Pa2Ga2Cu.

Unit cell a=10.420 b=4.275 c=9.855 alpha=90.00 beta=113.28 gamma=90.00
Space group C2/m (No. 12)
Inequivalent atoms, fractional coordinates:
Pa1 0.081 0.000 0.365 [4 per cell]
Pa2 0.196 0.000 0.060 [4 per cell]
Ga1 0.010 0.500 0.137 [4 per cell]
Ga2 0.124 0.500 0.597 [4 per cell]
Cu1 0.230 0.000 0.716 [4 per cell]

energy above the most stable polymorph in this dataset	0.0000	eV per atom
energy of formation from the pure elements	-0.22	eV/atom
crystal system	monoclinic
E_tot	-6.04	eV/atom

=====

(20)
VASP calculation (PBE) on an optimized crystal structure of Al2AgW.

Unit cell a=2.865 b=3.657 c=6.084 alpha=90.00 beta=90.00 gamma=90.00
Space group Pmmm (No. 47)
Inequivalent atoms, fractional coordinates:
Al1 0.000 0.000 0.235 [2 per cell]
Ag1 0.500 0.500 0.500 [1 per cell]
W1 0.500 0.500 0.000 [1 per cell]

energy above the most stable polymorph in this dataset	0.0543	eV per atom
energy of formation from the pure elements	0.06	eV/atom
crystal system	orthorhombic
E_tot	-5.76	eV/atom

=====

(21)
VASP calculation (PBE) on an optimized crystal structure of Nb2Ir2Pb.

Unit cell a=4.440 b=4.440 c=10.572 alpha=90.00 beta=90.00 gamma=90.00
Space group I4/mmm (No. 139)
Inequivalent atoms, fractional coordinates:
Nb1 0.000 0.500 0.250 [4 per cell]
Ir1 0.000 0.000 0.124 [4 per cell]
Pb1 0.000 0.000 0.500 [2 per cell]

energy of formation from the pure elements	-0.14	eV/atom
crystal system	tetragonal
E_tot	-8.46	eV/atom

=====

(22)
VASP calculation (PBE) on an optimized crystal structure of BSe2Br.

Unit cell a=3.4827 b=3.4827 c=30.9774 alpha=90.00 beta=90.00 gamma=120.00
Space group R-3m (No. 166, hexagonal axes)
Inequivalent atoms, fractional coordinates:
B1 0.0000 0.0000 0.0000 [3 per cell]
Se1 0.0000 0.0000 0.0583 [6 per cell]
Br1 0.0000 0.0000 0.5000 [3 per cell]

energy above the most stable polymorph in this dataset	0.0724	eV per atom
formation energy without anion corrections	414.4	meV per atom
crystal system	trigonal
E_tot	-3.42	eV/atom

=====

(23)
VASP calculation (PBE) on an optimized crystal structure of LiTi3Ge.

Unit cell a=4.797 b=4.797 c=4.797 alpha=90.00 beta=90.00 gamma=90.00
Space group Pm-3m (No. 221)
Inequivalent atoms, fractional coordinates:
Li1 0.000 0.000 0.000 [1 per cell]
Ti1 0.000 0.500 0.500 [3 per cell]
Ge1 0.500 0.500 0.500 [1 per cell]

energy above the most stable polymorph in this dataset	0.0000	eV per atom
energy of formation from the pure elements	0.54	eV/atom
crystal system	cubic
E_tot	-5.51	eV/atom

=====

(24)
VASP calculation (PBE) on an optimized crystal structure of Li11Ca3.

Unit cell a=4.987 b=10.330 c=13.767 alpha=90.00 beta=90.00 gamma=90.00
Space group Immm (No. 71)
Inequivalent atoms, fractional coordinates:
Li1 0.000 0.000 0.000 [2 per cell]
Li2 0.000 0.142 0.339 [8 per cell]
Li3 0.000 0.217 0.135 [8 per cell]
Li4 0.000 0.319 0.500 [4 per cell]
Ca1 0.000 0.500 0.000 [2 per cell]
Ca2 0.000 0.500 0.295 [4 per cell]

energy of formation from the pure elements	0.03	eV/atom
crystal system	orthorhombic
E_tot	-1.90	eV/atom